This record from Alexandria via LeMat-Bulk describes a geometry-optimized Ba2Li3AgAu4 structure. The functional is GGA-PBE.

Lattice parameters (Å, degrees): 4.6459 4.6459 11.0675 90.00 90.00 90.00
Positions (direct):
Ba: 0.5000 0.0000 0.2442
Ba: 0.0000 0.5000 0.7558
Li: 0.0000 0.0000 0.5000
Li: 0.5000 0.0000 0.8917
Li: 0.0000 0.5000 0.1083
Ag: 0.5000 0.5000 0.5000
Au: 0.5000 0.5000 0.0000
Au: 0.0000 0.0000 0.0000
Au: 0.5000 0.0000 0.6495
Au: 0.0000 0.5000 0.3505

Energy relative to the elements = -536 meV/atom
Total magnetic moment = 0.000 μB/atom
V = 23.888 Å³ per atom